# 1
Computed, not measured: a relaxed structure of Ag3Mo5 at the PBE-GGA level of DFT.

Values from the calculation:
SG	Cm, No. 8
final energy	-7.193	eV/atom
spin magnetization	0.000	μB/cell
offset from the most stable computed form	0.0	meV per atom
Fermi-level density of states	0.8259	states/eV per atom
formation energy	498	kJ/mol of formula units

Unit cell a=7.6601 b=7.6601 c=7.7035 alpha=96.34 beta=96.34 gamma=140.15
Closest atoms and distances in Å follow each position.
Fractional positions:
1 Ag 0.7251 0.7851 0.0299  2 Ag 2.75, 5 Mo 2.83-2.94
2 Ag 0.1574 0.3101 0.4798  9 Mo 2.69-2.99
3 Mo 0.0255 0.3484 0.1407  3 Mo 2.55-2.69, 3 Ag 2.82-2.86
4 Mo 0.4295 0.2833 0.7000  2 Mo 2.52-2.62, 2 Ag 2.69-2.76
5 Mo 0.7487 0.2487 0.5177  6 Mo 2.61-2.81, 4 Ag 2.82-2.90
6 Mo 0.7833 0.9295 0.7000  2 Mo 2.52-2.62, 2 Ag 2.69-2.76
7 Mo 0.5609 0.7673 0.3465  4 Mo 2.62-2.79, 5 Ag 2.71-2.84
8 Ag 0.5745 0.0745 0.8287  1 Ag 2.65, 8 Mo 2.71-2.91
9 Mo 0.1596 0.4628 0.8286  3 Mo 2.52-2.81, 1 Ag 2.80
10 Mo 0.2335 0.7335 0.4785  6 Mo 2.61-2.86, 3 Ag 2.71-2.82
11 Mo 0.9628 0.6596 0.8286  3 Mo 2.52-2.81, 1 Ag 2.80
12 Ag 0.8101 0.6574 0.4798  9 Mo 2.69-2.99
13 Ag 0.4350 0.9350 0.1307  1 Ag 2.65, 9 Mo 2.71-2.92
14 Mo 0.2673 0.0609 0.3465  4 Mo 2.62-2.79, 5 Ag 2.71-2.84
15 Mo 0.8484 0.5255 0.1407  3 Mo 2.55-2.69, 3 Ag 2.82-2.86
16 Ag 0.2851 0.2251 0.0299  2 Ag 2.75, 5 Mo 2.83-2.94

# 2
Computed, not measured: a relaxed structure of RbCuGe3 at the PBE-GGA level of DFT.

Values from the calculation:
SG	Pm-3m, No. 221
final energy	-1.761	eV/atom
spin magnetization	0.000	μB/cell
offset from the most stable computed form	1634.4	meV per atom
Fermi-level density of states	0.9518	states/eV per atom
formation energy	976	kJ/mol of formula units

Unit cell a=5.6735 b=5.6735 c=5.6735 alpha=90.00 beta=90.00 gamma=90.00
Closest atoms and distances in Å follow each position.
Fractional positions:
1 Ge 0.0000 0.5000 0.0000  2 Rb 2.84
2 Cu 0.5000 0.5000 0.5000  12 Ge 4.01
3 Ge 0.0000 0.0000 0.5000  2 Rb 2.84
4 Rb 0.0000 0.0000 0.0000  6 Ge 2.84
5 Ge 0.5000 0.0000 0.0000  2 Rb 2.84

# 3
Computed, not measured: a relaxed structure of LaTb6ErTm2 at the PBE-GGA level of DFT.

Values from the calculation:
SG	C2/c, No. 15
final energy	-4.501	eV/atom
spin magnetization	0.002	μB/cell
Fermi-level density of states	1.4950	states/eV per atom
formation energy	116	kJ/mol of formula units

Unit cell a=9.4322 b=8.7875 c=8.7875 alpha=116.49 beta=92.77 gamma=92.77
Closest atoms and distances in Å follow each position.
Fractional positions:
1 Tb 0.1808 0.5539 0.0083  3 Tb 3.22-3.56, 2 Tm 3.42-3.53, 1 Er 3.43, 1 La 3.55
2 Tb 0.0572 0.1188 0.7570  7 Tb 3.43-3.77, 1 Tm 3.52, 2 La 3.72
3 Tb 0.8192 0.4461 0.9917  3 Tb 3.22-3.56, 2 Tm 3.42-3.53, 1 Er 3.43, 1 La 3.55
4 Tb 0.9428 0.8812 0.2430  7 Tb 3.43-3.77, 1 Tm 3.52, 2 La 3.72
5 Tb 0.1144 0.7074 0.4813  4 Tb 3.22-3.48, 3 Tm 3.28-3.45, 2 Er 3.42-3.49
6 Tm 0.4478 0.7967 0.6942  6 Tb 3.28-3.53, 2 La 3.39-3.54, 1 Er 3.50
7 Tb 0.5572 0.7570 0.1188  7 Tb 3.43-3.77, 1 Tm 3.52, 2 La 3.72
8 La 0.7500 0.0345 0.9655  4 Tm 3.39-3.54, 6 Tb 3.55-3.72
9 Tm 0.5522 0.2033 0.3058  6 Tb 3.28-3.53, 2 La 3.39-3.54, 1 Er 3.50
10 Tb 0.3192 0.9917 0.4461  3 Tb 3.22-3.56, 2 Tm 3.42-3.53, 1 Er 3.43, 1 La 3.55
11 Tb 0.8856 0.2926 0.5187  4 Tb 3.22-3.48, 3 Tm 3.28-3.45, 2 Er 3.42-3.49
12 Tm 0.9478 0.6942 0.7967  6 Tb 3.28-3.53, 2 La 3.39-3.54, 1 Er 3.50
13 Tm 0.0522 0.3058 0.2033  6 Tb 3.28-3.53, 2 La 3.39-3.54, 1 Er 3.50
14 Tb 0.4428 0.2430 0.8812  7 Tb 3.43-3.77, 1 Tm 3.52, 2 La 3.72
15 Er 0.2500 0.4112 0.5888  6 Tb 3.42-3.49, 2 Tm 3.50
16 Tb 0.6144 0.4813 0.7074  4 Tb 3.22-3.48, 3 Tm 3.28-3.45, 2 Er 3.42-3.49
17 Tb 0.6808 0.0083 0.5539  3 Tb 3.22-3.56, 2 Tm 3.42-3.53, 1 Er 3.43, 1 La 3.55
18 Er 0.7500 0.5888 0.4112  6 Tb 3.42-3.49, 2 Tm 3.50
19 La 0.2500 0.9655 0.0345  4 Tm 3.39-3.54, 6 Tb 3.55-3.72
20 Tb 0.3856 0.5187 0.2926  4 Tb 3.22-3.48, 3 Tm 3.28-3.45, 2 Er 3.42-3.49

# 4
Computed, not measured: a relaxed structure of BaCe3Sm2Te6 at the PBE-GGA level of DFT.

Values from the calculation:
SG	C2/m, No. 12
final energy	-5.403	eV/atom
spin magnetization	3.767	μB/cell
Fermi-level density of states	1.9915	states/eV per atom
energy relative to the elements, uncorrected	-1.402	eV per atom

Unit cell a=4.5156 b=9.2011 c=10.2029 alpha=103.65 beta=102.78 gamma=90.00
Closest atoms and distances in Å follow each position.
Fractional positions:
1 Sm 0.1708 0.3409 0.3416  6 Te 3.15-3.23
2 Te 0.3264 0.9091 0.6528  3 Ce 3.16-3.28, 2 Sm 3.23, 1 Ba 3.35
3 Te 0.3339 0.4188 0.6679  3 Sm 3.15-3.18, 3 Ce 3.21-3.22
4 Te 0.9952 0.7327 0.9904  3 Ce 3.13-3.24, 1 Sm 3.21, 2 Ba 3.32
5 Ce 0.5000 0.5000 0.0000  6 Te 3.13-3.21
6 Ce 0.8371 0.1717 0.6742  6 Te 3.16-3.28
7 Sm 0.8292 0.6591 0.6584  6 Te 3.15-3.23
8 Ce 0.1629 0.8283 0.3258  6 Te 3.16-3.28
9 Te 0.6736 0.0909 0.3472  3 Ce 3.16-3.28, 2 Sm 3.23, 1 Ba 3.35
10 Te 0.6661 0.5812 0.3321  3 Sm 3.15-3.18, 3 Ce 3.21-3.22
11 Te 0.0048 0.2673 0.0096  3 Ce 3.13-3.24, 1 Sm 3.21, 2 Ba 3.32
12 Ba 0.5000 0.0000 0.0000  6 Te 3.32-3.35

# 5
Computed, not measured: a relaxed structure of Ta2Be2V at the PBE-GGA level of DFT.

Values from the calculation:
SG	I4/mmm, No. 139
final energy	-7.622	eV/atom
spin magnetization	1.822	μB/cell
offset from the most stable computed form	582.0	meV per atom
Fermi-level density of states	1.2020	states/eV per atom
formation energy	209	kJ/mol of formula units

Unit cell a=2.9172 b=2.9172 c=8.5947 alpha=80.23 beta=80.23 gamma=90.00
Closest atoms and distances in Å follow each position.
Fractional positions:
1 Ta 0.6116 0.6116 0.7768  4 Be 2.73, 4 V 2.78, 4 Ta 2.92
2 V 0.0000 0.0000 0.0000  8 Ta 2.78, 4 V 2.92
3 Ta 0.3884 0.3884 0.2232  4 Be 2.73, 4 V 2.78, 4 Ta 2.92
4 Be 0.7500 0.2500 0.5000  4 Be 2.06
5 Be 0.2500 0.7500 0.5000  4 Be 2.06

# 6
Computed, not measured: a relaxed structure of Mn2ZnH2 at the PBE-GGA level of DFT.

Values from the calculation:
SG	I4/mmm, No. 139
final energy	-5.133	eV/atom
spin magnetization	0.237	μB/cell
offset from the most stable computed form	0.0	meV per atom
Fermi-level density of states	0.6731	states/eV per atom

Unit cell a=2.9367 b=2.9367 c=5.1645 alpha=73.48 beta=73.48 gamma=90.00
Closest atoms and distances in Å follow each position.
Fractional positions:
1 H 0.7500 0.2500 0.5000  4 Mn 1.69
2 Zn 0.0000 0.0000 0.0000  8 Mn 2.58, 8 H 2.78
3 H 0.2500 0.7500 0.5000  4 Mn 1.69
4 Mn 0.6620 0.6620 0.6759  4 H 1.69
5 Mn 0.3380 0.3380 0.3241  4 H 1.69

What did the fourth record say?
Computed, not measured: a relaxed structure of BaCe3Sm2Te6 at the PBE-GGA level of DFT.

Values from the calculation:
SG	C2/m, No. 12
final energy	-5.403	eV/atom
spin magnetization	3.767	μB/cell
Fermi-level density of states	1.9915	states/eV per atom
energy relative to the elements, uncorrected	-1.402	eV per atom

Unit cell a=4.5156 b=9.2011 c=10.2029 alpha=103.65 beta=102.78 gamma=90.00
Closest atoms and distances in Å follow each position.
Fractional positions:
1 Sm 0.1708 0.3409 0.3416  6 Te 3.15-3.23
2 Te 0.3264 0.9091 0.6528  3 Ce 3.16-3.28, 2 Sm 3.23, 1 Ba 3.35
3 Te 0.3339 0.4188 0.6679  3 Sm 3.15-3.18, 3 Ce 3.21-3.22
4 Te 0.9952 0.7327 0.9904  3 Ce 3.13-3.24, 1 Sm 3.21, 2 Ba 3.32
5 Ce 0.5000 0.5000 0.0000  6 Te 3.13-3.21
6 Ce 0.8371 0.1717 0.6742  6 Te 3.16-3.28
7 Sm 0.8292 0.6591 0.6584  6 Te 3.15-3.23
8 Ce 0.1629 0.8283 0.3258  6 Te 3.16-3.28
9 Te 0.6736 0.0909 0.3472  3 Ce 3.16-3.28, 2 Sm 3.23, 1 Ba 3.35
10 Te 0.6661 0.5812 0.3321  3 Sm 3.15-3.18, 3 Ce 3.21-3.22
11 Te 0.0048 0.2673 0.0096  3 Ce 3.13-3.24, 1 Sm 3.21, 2 Ba 3.32
12 Ba 0.5000 0.0000 0.0000  6 Te 3.32-3.35

Q: Among the records above, which one has the highest Fermi-level density of states?
A: BaCe3Sm2Te6

Q: Among the records above, which one has the lowest Fermi-level density of states?
A: Mn2ZnH2

Q: What is the Fermi-level density of states in the second record?
A: 0.9518 states/eV per atom